(1)
# LiBeGa2Pt4

LiBeGa2Pt4 after structural relaxation (PBE-GGA, OQMD).

* crystal system: tetragonal
* DFT total energy: -0.38123 Ry per atom
* symmetry: No. 123
* calculated volume: 110 Å³/cell

Cell and atoms, written as POSCAR:
```
LiBeGa2Pt4
1.0
-1.636 -2.990 2.118
1.720 -2.675 -2.448
5.518 -0.154 4.045
Pt Ga Li Be
4 2 1 1
direct
0.000 0.500 0.237 Pt
0.500 0.000 0.763 Pt
0.000 0.500 0.763 Pt
0.500 0.000 0.237 Pt
0.000 0.000 0.500 Ga
0.500 0.500 0.000 Ga
0.500 0.500 0.500 Li
0.000 0.000 0.000 Be
```

=====

(2)
# LuBeGa

LuBeGa after structural relaxation (PBE-GGA, OQMD).

* crystal system: cubic
* ΔE to the lowest computed polymorph: 0 meV/atom
* symmetry: No. 216
* calculated volume: 54 Å³/cell

Cell and atoms, written as POSCAR:
```
LuBeGa
1.0
1.450 -3.517 -1.876
1.512 -3.189 2.353
-2.182 -3.624 0.313
Be Lu Ga
1 1 1
direct
0.000 0.000 0.000 Be
0.750 0.750 0.750 Lu
0.250 0.250 0.250 Ga
```

=====

(3)
# LuBeGa

LuBeGa after structural relaxation (PBE-GGA, OQMD).

* crystal system: cubic
* ΔE to the lowest computed polymorph: 759 meV/atom
* symmetry: No. 216
* calculated volume: 66 Å³/cell

Cell and atoms, written as POSCAR:
```
LuBeGa
1.0
-2.228 -3.787 -1.160
-3.245 -1.650 2.720
-4.358 0.226 -1.267
Be Ga Lu
1 1 1
direct
0.250 0.250 0.250 Be
0.750 0.750 0.750 Ga
0.000 0.000 0.000 Lu
```

=====

(4)
# Lu2BeGa

Lu2BeGa after structural relaxation (PBE-GGA, OQMD).

* crystal system: cubic
* DFT total energy: -0.26747 Ry per atom
* symmetry: No. 216
* calculated volume: 82 Å³/cell

Cell and atoms, written as POSCAR:
```
Lu2BeGa
1.0
-1.270 -3.439 -3.224
-3.952 -2.753 0.797
-3.984 0.592 -2.759
Lu Ga Be
2 1 1
direct
0.000 0.000 0.000 Lu
0.750 0.750 0.750 Lu
0.500 0.500 0.500 Ga
0.250 0.250 0.250 Be
```

=====

(5)
# LuBeGaPt

LuBeGaPt after structural relaxation (PBE-GGA, OQMD).

* crystal system: cubic
* ΔE to the lowest computed polymorph: 47 meV/atom
* symmetry: No. 216
* calculated volume: 65 Å³/cell

Cell and atoms, written as POSCAR:
```
LuBeGaPt
1.0
2.531 -2.810 2.459
1.902 1.442 3.828
-1.512 -1.504 3.976
Pt Be Lu Ga
1 1 1 1
direct
0.250 0.250 0.250 Pt
0.750 0.750 0.750 Be
0.000 0.000 0.000 Lu
0.500 0.500 0.500 Ga
```

=====

(6)
# LuBeGaPt

LuBeGaPt after structural relaxation (PBE-GGA, OQMD).

* crystal system: cubic
* ΔE to the lowest computed polymorph: 82 meV/atom
* symmetry: No. 216
* calculated volume: 66 Å³/cell

Cell and atoms, written as POSCAR:
```
LuBeGaPt
1.0
0.000 3.208 3.208
3.208 0.000 3.208
3.208 3.208 0.000
Ga Pt Be Lu
1 1 1 1
direct
0.000 0.000 0.000 Ga
0.500 0.500 0.500 Pt
0.750 0.750 0.750 Be
0.250 0.250 0.250 Lu
```

=====

(7)
# LuBeGaPt

LuBeGaPt after structural relaxation (PBE-GGA, OQMD).

* crystal system: cubic
* ΔE to the lowest computed polymorph: 0 meV/atom
* symmetry: No. 216
* calculated volume: 62 Å³/cell

Cell and atoms, written as POSCAR:
```
LuBeGaPt
1.0
0.000 3.147 3.147
3.147 0.000 3.147
3.147 3.147 0.000
Lu Be Ga Pt
1 1 1 1
direct
0.000 0.000 0.000 Lu
0.750 0.750 0.750 Be
0.250 0.250 0.250 Ga
0.500 0.500 0.500 Pt
```

=====

(8)
# MgBeGaNi

MgBeGaNi after structural relaxation (PBE-GGA, OQMD).

* crystal system: cubic
* ΔE to the lowest computed polymorph: 11 meV/atom
* symmetry: No. 216
* calculated volume: 51 Å³/cell

Cell and atoms, written as POSCAR:
```
MgBeGaNi
1.0
-1.921 -2.928 2.254
-2.899 1.085 2.786
-4.007 -0.882 -0.713
Ni Ga Be Mg
1 1 1 1
direct
0.500 0.500 0.500 Ni
0.250 0.250 0.250 Ga
0.750 0.750 0.750 Be
0.000 0.000 0.000 Mg
```

=====

Question: What is the calculated volume in the sixth record?
Answer: 66 Å³/cell

=====

Question: Which formula does entry 8 have?
Answer: MgBeGaNi

=====

Question: Which formula does entry 6 have?
Answer: LuBeGaPt

=====

Question: The lowest calculated volume belongs to which entry?
Answer: MgBeGaNi